Density functional theory data (PBE-GGA) for a relaxed structure of TmHf2BeN4.

It has space group Cmcm (No. 63), with a = 3.168 Å, b = 10.587 Å, c = 10.707 Å, α = 90.00°, β = 90.00° and γ = 90.00°. The inequivalent atoms are Tm at (0.000, 0.105, 0.250), Hf at (0.000, 0.370, 0.052), Be at (0.000, 0.171, 0.750), N at (0.000, 0.000, 0.000), N at (0.000, 0.270, 0.625) and N at (0.000, 0.428, 0.250).

For the raw formation energy, the calculation gives -1632 meV per atom. The magnetization comes out at 0.0 Bohr magnetons per cell. Its density of states at the Fermi level is 0.16 states/eV/atom.

---

Density functional theory data (PBE-GGA) for a relaxed structure of YHf2BeN4.

It has space group Cmcm (No. 63), with a = 3.193 Å, b = 10.673 Å, c = 10.715 Å, α = 90.00°, β = 90.00° and γ = 90.00°. The inequivalent atoms are Y at (0.000, 0.103, 0.250), Hf at (0.000, 0.369, 0.052), Be at (0.000, 0.172, 0.750), N at (0.000, 0.000, 0.000), N at (0.000, 0.268, 0.623) and N at (0.000, 0.424, 0.250).

For the raw formation energy, the calculation gives -1621 meV per atom. The magnetization comes out at 0.0 Bohr magnetons per cell. Its density of states at the Fermi level is 0.17 states/eV/atom.

---

Density functional theory data (PBE-GGA) for a relaxed structure of Na3HfBe.

It has space group Pm-3m (No. 221), with a = 6.147 Å, b = 6.147 Å, c = 6.147 Å, α = 90.00°, β = 90.00° and γ = 90.00°. The inequivalent atoms are Na at (0.000, 0.000, 0.500), Hf at (0.000, 0.000, 0.000) and Be at (0.500, 0.500, 0.500).

The calculation puts the formation energy from the elements at 9.32 eV per formula unit. For the distance to the lowest polymorph of the same formula, the calculation gives 572 meV per atom. The magnetization comes out at 3.9 Bohr magnetons per cell. Its density of states at the Fermi level is 2.63 states/eV/atom.

---

Density functional theory data (PBE-GGA) for a relaxed structure of Na3HfBe.

It has space group Pm-3m (No. 221), with a = 5.140 Å, b = 5.140 Å, c = 5.140 Å, α = 90.00°, β = 90.00° and γ = 90.00°. The inequivalent atoms are Na at (0.000, 0.000, 0.500), Hf at (0.500, 0.500, 0.500) and Be at (0.000, 0.000, 0.000).

The calculation puts the formation energy from the elements at 6.46 eV per formula unit. For the distance to the lowest polymorph of the same formula, the calculation gives 0 meV per atom. The magnetization comes out at 0.0 Bohr magnetons per cell. Its density of states at the Fermi level is 1.38 states/eV/atom.

---

Density functional theory data (PBE-GGA) for a relaxed structure of Na2Hf2BeS6.

It has space group C2/m (No. 12), with a = 6.211 Å, b = 11.018 Å, c = 7.115 Å, α = 90.00°, β = 107.41° and γ = 90.00°. The inequivalent atoms are Na at (0.000, 0.164, 0.000), Hf at (0.000, 0.331, 0.500), Be at (0.000, 0.000, 0.500), S at (0.233, 0.000, 0.312) and S at (0.239, 0.166, 0.712).

For the raw formation energy, the calculation gives -1310 meV per atom. The magnetization comes out at 0.0 Bohr magnetons per cell.

---

Density functional theory data (PBE-GGA) for a relaxed structure of Na2Hf2BeSe6.

It has space group C2/m (No. 12), with a = 6.502 Å, b = 11.507 Å, c = 7.488 Å, α = 90.00°, β = 107.82° and γ = 90.00°. The inequivalent atoms are Na at (0.000, 0.165, 0.000), Hf at (0.000, 0.330, 0.500), Be at (0.000, 0.000, 0.500), Se at (0.233, 0.000, 0.307) and Se at (0.241, 0.163, 0.714).

For the raw formation energy, the calculation gives -1111 meV per atom. The magnetization comes out at 0.0 Bohr magnetons per cell.

---

Density functional theory data (PBE-GGA) for a relaxed structure of Na2HfTaBe.

It has space group P4/mmm (No. 123), with a = 4.549 Å, b = 4.549 Å, c = 5.007 Å, α = 90.00°, β = 90.00° and γ = 90.00°. The inequivalent atoms are Na at (0.000, 0.500, 0.000), Hf at (0.000, 0.000, 0.500), Ta at (0.500, 0.500, 0.500) and Be at (0.500, 0.500, 0.000).

The calculation puts the formation energy from the elements at 6.19 eV per formula unit. The magnetization comes out at 0.0 Bohr magnetons per cell. Its density of states at the Fermi level is 1.12 states/eV/atom.

---

Density functional theory data (PBE-GGA) for a relaxed structure of Hf2Be9Nb.

It has space group R-3m (No. 166, hexagonal axes), with a = 4.6160 Å, b = 4.6160 Å, c = 21.7345 Å, α = 90.00°, β = 90.00° and γ = 120.00°. The inequivalent atoms are Hf at (0.0000, 0.0000, 0.1380), Be at (0.0000, 0.0000, 0.3338), Be at (0.0000, 0.0000, 0.5000), Be at (0.0019, 0.5010, 0.9226) and Nb at (0.0000, 0.0000, 0.0000).

The calculation puts the formation energy from the elements at -2.04 eV per formula unit. The magnetization comes out at 0.0 Bohr magnetons per cell. Its density of states at the Fermi level is 0.68 states/eV/atom.